# 1
A plane-wave DFT calculation with PBE-GGA was carried out for an optimized crystal structure of Ti3BiH.

Results
As for the space group: P1. The value obtained for the energy relative to the lowest polymorph listed for this composition is 27 meV per atom.

abc: 5.1847 5.9194 5.8808
angles: 61.56 79.87 80.34
Closest atoms and distances in Å follow each position.
Sites, in units of the cell vectors:
Ti1 0.3077 0.5805 0.6350  2 H 1.86-1.93
Ti2 0.8577 0.3532 0.3967  2 H 1.87-1.91
Ti3 0.3840 0.5882 0.1397  1 H 1.90
Ti4 0.7757 0.8391 0.3989  2 H 1.91-1.92
Ti5 0.3938 0.1030 0.6290  6 Ti 2.80-3.13, 2 H 2.87, 4 Bi 2.99-3.03
Ti6 0.7706 0.3518 0.8882  1 H 1.92
Bi1 0.8913 0.8398 0.8744  2 H 2.90-3.16, 11 Ti 2.96-3.05
Bi2 0.2705 0.1064 0.1498  1 H 2.92, 11 Ti 2.95-3.07
H1 0.5798 0.6058 0.3750  4 Ti 1.86-1.91
H2 0.9862 0.5156 0.5625  4 Ti 1.91-1.93

# 2
A plane-wave DFT calculation with PBE-GGA was carried out for an optimized crystal structure of Ti10Bi4H3.

Results
As for the space group: I4/mmm.

abc: 4.1809 4.1809 15.9568
angles: 97.53 97.53 90.00
Closest atoms and distances in Å follow each position.
Sites, in units of the cell vectors:
Ti1 0.7965 0.7965 0.5930  1 H 2.12
Ti2 0.8637 0.3637 0.7274  2 H 2.09
Ti3 0.1363 0.6363 0.2726  2 H 2.09
Ti4 0.2035 0.2035 0.4070  1 H 2.12
Ti5 0.9311 0.9311 0.8622  2 H 2.10-2.16
Ti6 0.0689 0.0689 0.1378  2 H 2.10-2.16
Ti7 0.3637 0.8637 0.7274  2 H 2.09
Ti8 0.6363 0.1363 0.2726  2 H 2.09
Ti9 0.0000 0.5000 0.0000  2 H 2.09
Ti10 0.5000 0.0000 0.0000  2 H 2.09
Bi1 0.5682 0.5682 0.1363  12 Ti 2.96-2.99
Bi2 0.7036 0.7036 0.4072  9 Ti 2.91-2.97
Bi3 0.2964 0.2964 0.5928  9 Ti 2.91-2.97
Bi4 0.4318 0.4318 0.8637  12 Ti 2.96-2.99
H1 0.8642 0.8642 0.7285  6 Ti 2.09-2.12
H2 0.1358 0.1358 0.2715  6 Ti 2.09-2.12
H3 0.0000 0.0000 0.0000  6 Ti 2.09-2.16

# 3
A plane-wave DFT calculation with PBE-GGA was carried out for an optimized crystal structure of Ti4Bi2H.

Results
As for the space group: I4/mmm. The value obtained for the energy relative to the lowest polymorph listed for this composition is 0 meV per atom.

abc: 4.1938 4.1938 7.6890
angles: 105.83 105.83 90.00
Closest atoms and distances in Å follow each position.
Sites, in units of the cell vectors:
Ti1 0.1434 0.1434 0.2867  1 H 2.03
Ti2 0.5000 0.0000 0.0000  2 H 2.10
Ti3 0.8566 0.8566 0.7133  1 H 2.03
Ti4 0.0000 0.5000 0.0000  2 H 2.10
H1 0.0000 0.0000 0.0000  6 Ti 2.03-2.10
Bi1 0.3509 0.3509 0.7018  9 Ti 2.94-2.98
Bi2 0.6491 0.6491 0.2982  9 Ti 2.94-2.98

# 4
A plane-wave DFT calculation with PBE-GGA was carried out for an optimized crystal structure of Ti2BiH.

Results
As for the space group: I4_1/amd. The value obtained for the energy relative to the lowest polymorph listed for this composition is 180 meV per atom.

abc: 5.4228 5.4228 5.9572
angles: 62.93 62.93 90.00
Closest atoms and distances in Å follow each position.
Sites, in units of the cell vectors:
H1 0.2500 0.7500 0.5000  4 Ti 1.77
H2 0.5000 0.5000 0.0000  4 Ti 1.77
Ti1 0.3750 0.1250 0.2500  2 H 1.77
Ti2 0.3750 0.6250 0.7500  2 H 1.77
Ti3 0.3750 0.6250 0.2500  2 H 1.77
Ti4 0.8750 0.6250 0.7500  2 H 1.77
Bi1 0.7500 0.2500 0.5000  8 Ti 3.24, 4 H 3.54, 4 Bi 3.54
Bi2 0.0000 0.0000 0.0000  8 Ti 3.24, 4 Bi 3.54, 4 H 3.54

# 5
A plane-wave DFT calculation with PBE-GGA was carried out for an optimized crystal structure of Ti5Bi2H.

Results
As for the space group: Pnma. The value obtained for the energy relative to the lowest polymorph listed for this composition is 0 meV per atom.

abc: 5.9365 7.3639 12.6172
angles: 90.00 90.00 90.00
Closest atoms and distances in Å follow each position.
Sites, in units of the cell vectors:
Ti1 0.2500 0.8263 0.5832  1 H 2.06
Ti2 0.0128 0.8357 0.3807  1 H 2.04
Ti3 0.9872 0.1643 0.6193  1 H 2.04
Ti4 0.2500 0.0201 0.2093  1 H 2.27
Ti5 0.7500 0.4799 0.7093  1 H 2.27
Ti6 0.5000 0.0000 0.0000  2 H 2.06
Ti7 0.7500 0.1737 0.4168  1 H 2.06
Ti8 0.5000 0.5000 0.5000  2 H 2.06
Ti9 0.0000 0.5000 0.5000  2 H 2.06
Ti10 0.7500 0.6737 0.0832  1 H 2.06
Ti11 0.9872 0.6643 0.8807  1 H 2.04
Ti12 0.2500 0.3263 0.9168  1 H 2.06
Ti13 0.5128 0.1643 0.6193  1 H 2.04
Ti14 0.4872 0.3357 0.1193  1 H 2.04
Ti15 0.0128 0.3357 0.1193  1 H 2.04
Ti16 0.0000 0.0000 0.0000  2 H 2.06
Ti17 0.7500 0.9799 0.7907  1 H 2.27
Ti18 0.4872 0.8357 0.3807  1 H 2.04
Ti19 0.5128 0.6643 0.8807  1 H 2.04
Ti20 0.2500 0.5201 0.2907  1 H 2.27
Bi1 0.7500 0.3228 0.9211  10 Ti 2.91-3.01
Bi2 0.2500 0.6772 0.0789  10 Ti 2.91-3.01
Bi3 0.7500 0.8228 0.5789  10 Ti 2.91-3.01
Bi4 0.7500 0.5166 0.2962  10 Ti 2.92-3.03
Bi5 0.7500 0.0166 0.2038  10 Ti 2.92-3.03
Bi6 0.2500 0.9834 0.7962  10 Ti 2.92-3.03
Bi7 0.2500 0.4834 0.7038  10 Ti 2.92-3.03
Bi8 0.2500 0.1772 0.4211  10 Ti 2.91-3.01
H1 0.2500 0.1712 0.0526  6 Ti 2.04-2.27
H2 0.7500 0.8288 0.9474  6 Ti 2.04-2.27
H3 0.2500 0.6712 0.4474  6 Ti 2.04-2.27
H4 0.7500 0.3288 0.5526  6 Ti 2.04-2.27

# 6
A plane-wave DFT calculation with PBE-GGA was carried out for an optimized crystal structure of Ti8Bi2H3.

Results
As for the space group: P4/mmm.

abc: 4.0758 4.0758 11.5566
angles: 90.00 90.00 90.00
Closest atoms and distances in Å follow each position.
Sites, in units of the cell vectors:
Bi1 0.0000 0.0000 0.8113  12 Ti 2.88-3.03
Bi2 0.0000 0.0000 0.1887  12 Ti 2.88-3.03
Ti1 0.0000 0.5000 0.6172  2 H 2.05
Ti2 0.5000 0.5000 0.8031  1 H 1.89
Ti3 0.0000 0.5000 0.3828  2 H 2.05
Ti4 0.5000 0.5000 0.1969  1 H 1.89
Ti5 0.5000 0.0000 0.0000  2 H 2.04
Ti6 0.5000 0.0000 0.6172  2 H 2.05
Ti7 0.5000 0.0000 0.3828  2 H 2.05
Ti8 0.0000 0.5000 0.0000  2 H 2.04
H1 0.5000 0.5000 0.3602  5 Ti 1.89-2.05
H2 0.5000 0.5000 0.0000  6 Ti 2.04-2.28
H3 0.5000 0.5000 0.6398  5 Ti 1.89-2.05

# 7
A plane-wave DFT calculation with PBE-GGA was carried out for an optimized crystal structure of Ti8BiH2.

Results
As for the space group: C2/m.

abc: 5.8286 6.3864 6.3864
angles: 52.30 74.86 74.86
Closest atoms and distances in Å follow each position.
Sites, in units of the cell vectors:
Ti1 0.7821 0.6043 0.6043  1 H 1.99
Ti2 0.5993 0.1953 0.1953  1 H 1.89
Ti3 0.3023 0.3789 0.8369  1 H 1.94
Ti4 0.4007 0.8047 0.8047  1 H 1.89
Ti5 0.2179 0.3957 0.3957  1 H 1.99
Ti6 0.6977 0.1631 0.6211  1 H 1.94
Ti7 0.3023 0.8369 0.3789  1 H 1.94
Ti8 0.6977 0.6211 0.1631  1 H 1.94
Bi1 0.0000 0.0000 0.0000  6 Ti 2.72-2.87
H1 0.2654 0.2164 0.2164  4 Ti 1.89-1.99
H2 0.7346 0.7836 0.7836  4 Ti 1.89-1.99

# 8
A plane-wave DFT calculation with PBE-GGA was carried out for an optimized crystal structure of Ti3BiH.

Results
As for the space group: Amm2. The value obtained for the energy relative to the lowest polymorph listed for this composition is 680 meV per atom.

abc: 2.9940 7.5740 7.5740
angles: 138.90 90.00 90.00
Closest atoms and distances in Å follow each position.
Sites, in units of the cell vectors:
H1 0.0000 0.4183 0.5817  5 Ti 1.95-2.02
Ti1 0.5000 0.6685 0.8409  2 H 2.02
Ti2 0.5000 0.1591 0.3315  2 H 2.02
Ti3 0.0000 0.2805 0.7195  1 H 1.95
Bi1 0.5000 0.1016 0.8984  4 Ti 2.95-2.97, 2 Bi 2.99

Q: Which E values were calculated for the entries above? A: -64.0 -108.7 -44.5 -46.6 -207.5 -82.2 -73.3 -28.8, in eV per cell.
Q: Which magnetic moment values were calculated for the entries above? A: 0.00 0.00 0.00 0.00 0.00 0.01 0.13 0.00, in μB/cell.